1.
A relaxed SnHgS2 crystal, computed with PBE.

The structure in POSCAR format:
```
SnHgS2
1.0
7.6540 0.0000 0.0000
0.0000 14.8285 0.0000
-3.5825 0.0000 5.1581
Sn Hg S
4 4 8
Direct
0.0000 0.2492 0.2500
0.0000 0.7508 0.7500
0.5000 0.2508 0.7500
0.5000 0.7492 0.2500
0.0000 0.0544 0.7500
0.0000 0.9456 0.2500
0.5000 0.4456 0.2500
0.5000 0.5544 0.7500
0.1904 0.3373 0.6514
0.1904 0.6627 0.1514
0.3096 0.1627 0.3486
0.3096 0.8373 0.8486
0.6904 0.1627 0.1514
0.6904 0.8373 0.6514
0.8096 0.3373 0.8486
0.8096 0.6627 0.3486
```

## Properties
Energy relative to the elements, uncorrected, eV/atom: -0.19
ρ, g/cm³: 4.4
Fermi-level density of states, states/eV per cell: 0.0



2.
A relaxed SnHgS2 crystal, computed with PBE.

The structure in POSCAR format:
```
SnHgS2
1.0
6.4412 0.0000 0.0000
0.0000 10.4182 0.0000
0.0000 0.0000 6.2659
Sn Hg S
4 4 8
Direct
0.0310 0.1248 0.0000
0.4690 0.6248 0.5000
0.5310 0.3752 0.0000
0.9690 0.8752 0.5000
0.0341 0.6263 0.9924
0.4659 0.1263 0.4924
0.5341 0.8737 0.9924
0.9659 0.3737 0.4924
0.0465 0.1397 0.5759
0.0613 0.6078 0.5541
0.4387 0.1078 0.0541
0.4535 0.6397 0.0759
0.5465 0.3603 0.5759
0.5613 0.8922 0.5541
0.9387 0.3922 0.0541
0.9535 0.8603 0.0759
```

## Properties
Energy relative to the elements, uncorrected, eV/atom: -0.21
ρ, g/cm³: 6.1
Fermi-level density of states, states/eV per cell: 0.0



3.
A relaxed SnHg2S3 crystal, computed with PBE.

The structure in POSCAR format:
```
SnHg2S3
1.0
3.9326 0.0000 0.0000
0.0000 10.8833 0.0000
0.0000 0.0000 7.2294
Sn Hg S
2 4 6
Direct
0.0000 0.1218 0.0000
0.0000 0.8782 0.5000
0.0000 0.2321 0.5450
0.0000 0.7679 0.0450
0.5000 0.4892 0.3261
0.5000 0.5108 0.8261
0.0000 0.3639 0.8485
0.0000 0.6361 0.3485
0.5000 0.0748 0.7544
0.5000 0.2649 0.3137
0.5000 0.7351 0.8138
0.5000 0.9252 0.2544
```

## Properties
Energy relative to the elements, uncorrected, eV/atom: -0.10
ρ, g/cm³: 6.6



4.
A relaxed SnHgS2 crystal, computed with PBE.

The structure in POSCAR format:
```
SnHgS2
1.0
3.6896 0.0000 0.0000
1.8447 3.1957 0.0000
0.0139 2.0988 9.5222
Sn Hg S
1 1 2
Direct
0.0000 0.0000 0.0000
0.8265 0.3426 0.4923
0.3839 0.2310 0.1560
0.6160 0.7692 0.8439
```

## Properties
Energy relative to the elements, uncorrected, eV/atom: -0.27
ρ, g/cm³: 5.7
Fermi-level density of states, states/eV per cell: 0.0



> Among the records above, which one has the highest ρ?

SnHg2S3



> The highest ρ belongs to which entry?

SnHg2S3



> What is the energy relative to the elements, uncorrected in the first record?

-0.19 eV/atom



> The highest ρ belongs to which entry?

SnHg2S3